{
  "formula": "TlHg2AuF8",
  "functional": "PBE",
  "state": "relaxed",
  "lattice_angstrom": [[5.007, 0.042, 0.019], [0.077, 5.846, 0.272], [0.031, 0.375, 7.779]],
  "species": ["F", "F", "F", "F", "F", "F", "F", "F", "Hg", "Hg", "Tl", "Au"],
  "fractional_positions": [[0.490, 0.262, 0.972], [0.510, 0.738, 0.028], [0.007, 0.764, 0.201], [0.508, 0.734, 0.550], [0.989, 0.237, 0.166], [0.492, 0.266, 0.450], [0.011, 0.763, 0.834], [0.993, 0.236, 0.799], [0.501, 0.496, 0.235], [0.499, 0.504, 0.765], [0.000, 0.000, 0.500], [0.000, 0.000, 0.000]],
  "formation_energy_uncorrected_ev_per_atom": -1.376,
  "m_tot_mub_per_cell": 0.0,
  "dft_energy_ry_per_atom": -0.2311
}